1.
Computed, not measured: NaSrDyI6 after structural relaxation at the PBE level of DFT.

It has space group P-31c (No. 163), with a = 8.0475 Å, b = 8.0475 Å, c = 14.3947 Å, α = 90.00°, β = 90.00° and γ = 120.00°. The asymmetric unit holds Na at (0.0000, 0.0000, 0.0000), Sr at (0.3333, 0.6667, 0.2500), Dy at (0.3333, 0.6667, 0.7500) and I at (0.0241, 0.3594, 0.6268).

The calculation puts the formation energy from raw total energies at -1.45 eV/atom.

2.
Computed, not measured: BaTe2Se2 after structural relaxation at the PBE level of DFT.

It has space group P4/mbm (No. 127), with a = 8.458 Å, b = 8.458 Å, c = 4.288 Å, α = 90.00°, β = 90.00° and γ = 90.00°. The asymmetric unit holds Ba at (0.000, 0.000, 0.000), Te at (0.203, 0.297, 0.500) and Se at (0.132, 0.632, 0.000).

The calculation puts the formation energy from raw total energies at -0.57 eV/atom. The energy above the most stable polymorph in this dataset comes out at 3.53 kcal/mol of atoms.

3.
Computed, not measured: HPtIO2 after structural relaxation at the PBE level of DFT.

It has space group P4/mmm (No. 123), with a = 4.093 Å, b = 4.093 Å, c = 3.628 Å, α = 90.00°, β = 90.00° and γ = 90.00°. The asymmetric unit holds H at (0.000, 0.000, 0.000), Pt at (0.500, 0.500, 0.500), I at (0.000, 0.000, 0.500) and O at (0.000, 0.500, 0.000).

The energy above the most stable polymorph in this dataset comes out at 18.64 kcal/mol of atoms.

4.
Computed, not measured: DyBiPt10 after structural relaxation at the PBE level of DFT.

It has space group Pmmm (No. 47), with a = 4.486 Å, b = 5.383 Å, c = 9.246 Å, α = 90.00°, β = 90.00° and γ = 90.00°. The asymmetric unit holds Dy at (0.000, 0.000, 0.000), Bi at (0.000, 0.500, 0.500), Pt at (0.000, 0.000, 0.333), Pt at (0.000, 0.500, 0.167), Pt at (0.500, 0.000, 0.500), Pt at (0.500, 0.247, 0.245) and Pt at (0.500, 0.500, 0.000).

For the energy relative to the elements, the calculation gives -358.4 meV/atom.

5.
Computed, not measured: K3Ag2PdCl9 after structural relaxation at the PBE level of DFT.

It has space group P-3m1 (No. 164), with a = 7.2207 Å, b = 7.2207 Å, c = 8.7482 Å, α = 90.00°, β = 90.00° and γ = 120.00°. The asymmetric unit holds K at (0.0000, 0.0000, 0.0000), K at (0.3333, 0.6667, 0.6932), Ag at (0.3333, 0.6667, 0.1740), Pd at (0.0000, 0.0000, 0.5000), Cl at (0.0000, 0.5000, 0.0000) and Cl at (0.1586, 0.3171, 0.3408).

The calculation puts the formation energy from raw total energies at -1.06 eV/atom.

6.
Computed, not measured: DyThNiRh after structural relaxation at the PBE level of DFT.

It has space group Amm2 (No. 38), with a = 4.433 Å, b = 3.753 Å, c = 10.334 Å, α = 90.00°, β = 90.00° and γ = 90.00°. The asymmetric unit holds Dy at (0.000, 0.000, 0.000), Th at (0.500, 0.000, 0.276), Ni at (0.000, 0.000, 0.722) and Rh at (0.500, 0.000, 0.550).

The energy above the most stable polymorph in this dataset comes out at 0.00 kcal/mol of atoms. For the energy relative to the elements, the calculation gives -681.8 meV/atom.

Number 1: D(E_F) 0.0000 states/eV/atom. Number 2: D(E_F) 0.4603 states/eV/atom. Number 3: D(E_F) 0.7365 states/eV/atom. Number 4: D(E_F) 0.8146 states/eV/atom. Number 5: D(E_F) 0.1856 states/eV/atom. Number 6: D(E_F) 0.6731 states/eV/atom.